[1]
Here is a geometry-optimized OsAu2Se structure from Alexandria via LeMat-Bulk. Energies are from PBE-GGA.

Values from the calculation:
Total DFT energy (no corrections), Ry per atom: -0.3468
Density, g/cm3: 15.196
SG: R-3m, No. 166
ΔE_f (raw), eV per formula unit: 2.40

```
OsAu2Se
1.0
-6.0547 3.9654 7.8613
-7.4249 1.5291 7.5311
-5.1663 1.6576 9.2057
Se Au Os
1 2 1
direct
0.7500 0.7500 0.7500
0.9914 0.9914 0.9914
0.5086 0.5086 0.5086
0.2500 0.2500 0.2500
```

=====

[2]
Here is a geometry-optimized OsAu2Se structure from Alexandria via LeMat-Bulk. Energies are from PBE-GGA.

Values from the calculation:
Total DFT energy (no corrections), Ry per atom: -0.3422
Density, g/cm3: 14.899
SG: P4/mmm, No. 123
ΔE_f (raw), eV per formula unit: 2.65

```
OsAu2Se
1.0
2.7422 0.0000 0.0000
0.0000 2.7422 0.0000
0.0000 0.0000 9.8289
Se Os Au
1 1 2
direct
0.5000 0.5000 0.7500
0.5000 0.5000 0.2500
0.0000 0.0000 0.4681
0.0000 0.0000 0.0319
```

=====

[3]
Here is a geometry-optimized OsAuSe structure from Alexandria via LeMat-Bulk. Energies are from PBE-GGA.

Values from the calculation:
Total DFT energy (no corrections), Ry per atom: -0.3875
Relative energy among the computed polymorphs, meV/atom: 340
Density, g/cm3: 13.304
SG: F-43m, No. 216
ΔE_f (raw), eV per formula unit: 2.18

```
OsAuSe
1.0
-0.2769 3.9616 -1.7740
0.2473 0.4720 -4.3167
-3.5353 1.1236 -2.2709
Au Se Os
1 1 1
direct
0.5000 0.5000 0.5000
0.0000 0.0000 0.0000
0.7500 0.7500 0.7500
```